VASP calculation (PBE) on a relaxed structure of AcAg2Br6.

SG: No. 12
E_tot (eV per atom): -3.21
Energy above the most stable polymorph in this dataset (meV/atom): 0
ΔE_f (raw) (eV/atom): -1.002

a = 9.7828 Å, b = 9.7828 Å, c = 5.5370 Å
α = 106.38°, β = 106.38°, γ = 32.87°
Fractional coordinates of all 9 atoms:
1 Ac 0.0000 0.0000 0.0000
2 Ag 0.2499 0.2499 0.7499
3 Ag 0.7501 0.7501 0.2501
4 Br 0.0930 0.0930 0.5924
5 Br 0.2427 0.2427 0.2426
6 Br 0.4070 0.4070 0.9079
7 Br 0.5930 0.5930 0.0921
8 Br 0.7573 0.7573 0.7574
9 Br 0.9070 0.9070 0.4076

VASP calculation (PBE) on a relaxed structure of CuBSb2C.

SG: No. 123
E_tot (eV per atom): -4.02
ΔE_f (raw) (eV/atom): 1.624

a = 5.2230 Å, b = 5.2230 Å, c = 3.4916 Å
α = 90.00°, β = 90.00°, γ = 90.00°
Fractional coordinates of all 5 atoms:
1 Cu 0.0000 0.0000 0.0000
2 B 0.5000 0.5000 0.5000
3 Sb 0.0000 0.5000 0.0000
4 Sb 0.5000 0.0000 0.0000
5 C 0.0000 0.0000 0.5000

VASP calculation (PBE) on a relaxed structure of PmHoIn.

Formation energy (eV/atom): -0.301
SG: No. 107
E_tot (eV per atom): -4.32
Energy above the most stable polymorph in this dataset (meV/atom): 45

a = 3.5853 Å, b = 3.5853 Å, c = 13.8446 Å
α = 90.00°, β = 90.00°, γ = 90.00°
Fractional coordinates of all 6 atoms:
1 Pm 0.0000 0.0000 0.0000
2 Pm 0.5000 0.5000 0.5000
3 Ho 0.0000 0.0000 0.6908
4 Ho 0.5000 0.5000 0.1908
5 In 0.0000 0.0000 0.3397
6 In 0.5000 0.5000 0.8397

Record order is preserved below.
Total magnetic moment: 0.00 0.00 0.00 Bohr magnetons per cell
Record order is preserved below.
Calculated volume: 274.9 95.3 178.0 Å³/cell
Record order is preserved below.
N(E_F): 5.02 2.73 5.84 states/eV per cell